[1]
Density functional theory data (PBE) for a relaxed structure of La8Zn3PI4.

Unit cell a=9.321 b=9.321 c=9.321 alpha=56.14 beta=56.14 gamma=56.14
Sites, in units of the cell vectors:
La: 0.240 0.240 0.240
La: 0.249 0.731 0.731
La: 0.269 0.269 0.751
La: 0.269 0.751 0.269
La: 0.731 0.249 0.731
La: 0.731 0.731 0.249
La: 0.751 0.269 0.269
La: 0.760 0.760 0.760
Zn: 0.000 0.000 0.500
Zn: 0.000 0.500 0.000
Zn: 0.500 0.000 0.000
P: 0.500 0.500 0.500
I: 0.000 0.000 0.000
I: 0.000 0.500 0.500
I: 0.500 0.000 0.500
I: 0.500 0.500 0.000

Summary:
Total magnetization ... 0.0 μB per formula unit
Formation energy without anion corrections ... -78.6 kJ/mol of atoms
Crystal system ... trigonal

***

[2]
Density functional theory data (PBE) for a relaxed structure of ThPa2Sb.

Unit cell a=4.626 b=4.626 c=4.875 alpha=90.00 beta=90.00 gamma=90.00
Sites, in units of the cell vectors:
Th: 0.000 0.000 0.000
Pa: 0.000 0.500 0.500
Pa: 0.500 0.000 0.500
Sb: 0.500 0.500 0.000

Summary:
Total magnetization ... 0.0 μB per formula unit
Formation energy without anion corrections ... -27.0 kJ/mol of atoms
Crystal system ... tetragonal

***

[3]
Density functional theory data (PBE) for a relaxed structure of Er3MgPt12.

Unit cell a=4.078 b=4.078 c=16.179 alpha=90.00 beta=90.00 gamma=90.00
Sites, in units of the cell vectors:
Er: 0.000 0.000 0.000
Er: 0.000 0.000 0.255
Er: 0.000 0.000 0.745
Mg: 0.000 0.000 0.500
Pt: 0.000 0.500 0.127
Pt: 0.000 0.500 0.382
Pt: 0.000 0.500 0.618
Pt: 0.000 0.500 0.873
Pt: 0.500 0.000 0.127
Pt: 0.500 0.000 0.382
Pt: 0.500 0.000 0.618
Pt: 0.500 0.000 0.873
Pt: 0.500 0.500 0.000
Pt: 0.500 0.500 0.255
Pt: 0.500 0.500 0.500
Pt: 0.500 0.500 0.745

Summary:
Formation energy from the elements ... -91.3 kJ per mole of atoms
Total magnetization ... 0.0 μB per formula unit
Crystal system ... tetragonal

***

[4]
Density functional theory data (PBE) for a relaxed structure of La6Ge4Cl.

Unit cell a=8.626 b=8.626 c=8.626 alpha=89.55 beta=89.55 gamma=89.55
Sites, in units of the cell vectors:
La: 0.062 0.908 0.681
La: 0.092 0.319 0.938
La: 0.181 0.408 0.562
La: 0.319 0.938 0.092
La: 0.408 0.562 0.181
La: 0.438 0.819 0.592
La: 0.562 0.181 0.408
La: 0.592 0.438 0.819
La: 0.681 0.062 0.908
La: 0.819 0.592 0.438
La: 0.908 0.681 0.062
La: 0.938 0.092 0.319
Ge: 0.141 0.750 0.359
Ge: 0.250 0.250 0.250
Ge: 0.250 0.641 0.859
Ge: 0.359 0.141 0.750
Ge: 0.641 0.859 0.250
Ge: 0.750 0.359 0.141
Ge: 0.750 0.750 0.750
Ge: 0.859 0.250 0.641
Cl: 0.000 0.000 0.000
Cl: 0.500 0.500 0.500

Summary:
Total magnetization ... 0.0 μB per formula unit
Formation energy without anion corrections ... -84.6 kJ/mol of atoms
Crystal system ... trigonal

***

[5]
Density functional theory data (PBE) for a relaxed structure of Ho2Si3HgPt4.

Unit cell a=4.109 b=4.109 c=10.891 alpha=90.00 beta=90.00 gamma=90.00
Sites, in units of the cell vectors:
Ho: 0.000 0.500 0.244
Ho: 0.500 0.000 0.756
Si: 0.000 0.500 0.875
Si: 0.500 0.000 0.125
Si: 0.500 0.500 0.500
Hg: 0.000 0.000 0.500
Pt: 0.000 0.000 0.000
Pt: 0.000 0.500 0.665
Pt: 0.500 0.000 0.335
Pt: 0.500 0.500 0.000

Summary:
Total magnetization ... 0.0 μB per formula unit
Formation energy without anion corrections ... -85.4 kJ/mol of atoms
Crystal system ... tetragonal

***

[6]
Density functional theory data (PBE) for a relaxed structure of AcHg2Te.

Unit cell a=4.730 b=4.730 c=5.526 alpha=90.00 beta=90.00 gamma=90.00
Sites, in units of the cell vectors:
Ac: 0.000 0.000 0.000
Hg: 0.000 0.500 0.500
Hg: 0.500 0.000 0.500
Te: 0.500 0.500 0.000

Summary:
Total magnetization ... 0.0 μB per formula unit
Formation energy without anion corrections ... -70.8 kJ/mol of atoms
Crystal system ... tetragonal

***

[7]
Density functional theory data (PBE) for a relaxed structure of Pm4Nd3SmS8.

Unit cell a=8.090 b=8.090 c=8.090 alpha=60.00 beta=60.00 gamma=60.00
Sites, in units of the cell vectors:
Pm: 0.000 0.000 0.000
Pm: 0.000 0.500 0.500
Pm: 0.500 0.000 0.500
Pm: 0.500 0.500 0.000
Nd: 0.000 0.000 0.500
Nd: 0.000 0.500 0.000
Nd: 0.500 0.000 0.000
Sm: 0.500 0.500 0.500
S: 0.251 0.251 0.251
S: 0.251 0.251 0.747
S: 0.251 0.747 0.251
S: 0.253 0.749 0.749
S: 0.747 0.251 0.251
S: 0.749 0.253 0.749
S: 0.749 0.749 0.253
S: 0.749 0.749 0.749

Summary:
Total magnetization ... 0.0 μB per formula unit
Formation energy without anion corrections ... -195.4 kJ/mol of atoms
Crystal system ... trigonal

***

[8]
Density functional theory data (PBE) for a relaxed structure of SrTiBRh2.

Unit cell a=4.834 b=4.834 c=5.034 alpha=90.00 beta=90.00 gamma=90.00
Sites, in units of the cell vectors:
Sr: 0.000 0.000 0.000
Ti: 0.000 0.000 0.500
B: 0.500 0.500 0.500
Rh: 0.000 0.500 0.000
Rh: 0.500 0.000 0.000

Summary:
Formation energy from the elements ... 253.9 kJ per mole of atoms
Total magnetization ... 0.0 μB per formula unit
Crystal system ... tetragonal

***

[9]
Density functional theory data (PBE) for a relaxed structure of SrMoW2.

Unit cell a=4.936 b=4.936 c=3.069 alpha=90.00 beta=90.00 gamma=90.00
Sites, in units of the cell vectors:
Sr: 0.000 0.000 0.000
Mo: 0.500 0.500 0.000
W: 0.000 0.500 0.500
W: 0.500 0.000 0.500

Summary:
Formation energy from the elements ... 134.3 kJ per mole of atoms
Total magnetization ... 0.0 μB per formula unit
Crystal system ... tetragonal

***

[10]
Density functional theory data (PBE) for a relaxed structure of La2Pm4Y.

Unit cell a=9.193 b=9.193 c=9.193 alpha=135.87 beta=101.20 gamma=95.05
Sites, in units of the cell vectors:
La: 0.000 0.000 0.000
La: 0.472 0.222 0.250
La: 0.500 0.000 0.500
La: 0.528 0.778 0.750
Pm: 0.132 0.641 0.491
Pm: 0.260 0.287 0.527
Pm: 0.260 0.733 0.973
Pm: 0.350 0.359 0.991
Pm: 0.650 0.641 0.009
Pm: 0.740 0.267 0.027
Pm: 0.740 0.713 0.473
Pm: 0.868 0.359 0.509
Y: 0.000 0.000 0.500
Y: 0.000 0.500 0.000

Summary:
Formation energy from the elements ... 20.5 kJ per mole of atoms
Total magnetization ... 0.0 μB per formula unit
Crystal system ... orthorhombic

***

[11]
Density functional theory data (PBE) for a relaxed structure of Be2TeCl.

Unit cell a=4.455 b=4.455 c=6.859 alpha=90.00 beta=90.00 gamma=133.31
Sites, in units of the cell vectors:
Be: 0.000 0.000 0.244
Be: 0.000 0.000 0.756
Te: 0.500 0.500 0.000
Cl: 0.500 0.500 0.500

Summary:
Total magnetization ... 0.0 μB per formula unit
Formation energy without anion corrections ... 30.7 kJ/mol of atoms
Crystal system ... orthorhombic

***

[12]
Density functional theory data (PBE) for a relaxed structure of PrSm5Au6.

Unit cell a=5.231 b=7.321 c=8.268 alpha=90.00 beta=108.08 gamma=90.00
Sites, in units of the cell vectors:
Pr: 0.000 0.000 0.000
Sm: 0.000 0.500 0.000
Sm: 0.332 0.000 0.666
Sm: 0.333 0.500 0.668
Sm: 0.667 0.500 0.332
Sm: 0.668 0.000 0.334
Au: 0.171 0.252 0.339
Au: 0.171 0.748 0.339
Au: 0.500 0.257 0.000
Au: 0.500 0.743 0.000
Au: 0.829 0.252 0.661
Au: 0.829 0.748 0.661

Summary:
Formation energy from the elements ... -76.0 kJ per mole of atoms
Total magnetization ... 0.0 μB per formula unit
Crystal system ... monoclinic